1.
## Be2Nb3Co5 (PBE)

Data for an optimized crystal structure of Be2Nb3Co5.

Lattice parameters (Å, degrees): 3.280 8.574 8.574 90.00 90.00 90.00
Fractional coordinates of all 20 atoms:
Be: 0.000 0.382 0.118
Be: 0.000 0.882 0.382
Be: 0.000 0.618 0.882
Be: 0.000 0.118 0.618
Co: 0.500 0.216 0.070
Co: 0.500 0.284 0.570
Co: 0.500 0.500 0.000
Co: 0.500 0.070 0.784
Co: 0.500 0.430 0.284
Co: 0.500 0.716 0.430
Co: 0.500 0.784 0.930
Co: 0.500 0.570 0.716
Co: 0.500 0.930 0.216
Co: 0.500 0.000 0.500
Nb: 0.000 0.500 0.500
Nb: 0.000 0.175 0.325
Nb: 0.000 0.675 0.175
Nb: 0.000 0.325 0.825
Nb: 0.000 0.000 0.000
Nb: 0.000 0.825 0.675

## Properties
DFT formation energy in eV/atom: -0.244
Total energy in eV/atom: -7.563
Space-group type: P4/mbm
Total magnetic moment in μB per formula unit: 0.0

2.
## Be4Nb2Co5 (PBE)

Data for an optimized crystal structure of Be4Nb2Co5.

Lattice parameters (Å, degrees): 4.971 4.804 6.447 78.49 67.32 58.85
Each line ends with the local moment (μB).
Fractional coordinates of all 11 atoms:
Nb: 0.136 0.000 0.729  0.05
Nb: 0.864 0.000 0.271  0.05
Co: 0.750 0.500 0.500  0.09
Co: 0.500 0.000 0.000  0.02
Co: 0.500 0.500 0.000  0.26
Co: 0.000 0.500 0.000  0.26
Co: 0.250 0.500 0.500  0.09
Be: 0.775 0.726 0.723  -0.01
Be: 0.498 0.726 0.277  -0.01
Be: 0.502 0.274 0.723  -0.01
Be: 0.225 0.274 0.277  -0.01

## Properties
DFT formation energy in eV/atom: -0.061
Total energy in eV/atom: -6.476
Space-group type: Fmmm
Total magnetic moment in μB per formula unit: 0.8

3.
## Be2Nb2CoNi5 (PBE)

Data for an optimized crystal structure of Be2Nb2CoNi5.

Lattice parameters (Å, degrees): 3.341 8.311 8.311 90.00 90.00 90.00
Each line ends with the local moment (μB).
Fractional coordinates of all 20 atoms:
Be: 0.000 0.889 0.389  0.00
Be: 0.000 0.611 0.889  0.00
Be: 0.000 0.389 0.111  0.00
Be: 0.000 0.111 0.611  0.00
Co: 0.000 0.000 0.000  0.78
Co: 0.000 0.500 0.500  0.78
Ni: 0.500 0.209 0.062  -0.03
Ni: 0.500 0.291 0.562  -0.03
Ni: 0.500 0.062 0.791  -0.03
Ni: 0.500 0.938 0.209  -0.03
Ni: 0.500 0.562 0.709  -0.03
Ni: 0.500 0.500 0.000  -0.02
Ni: 0.500 0.791 0.938  -0.03
Ni: 0.500 0.438 0.291  -0.03
Ni: 0.500 0.709 0.438  -0.03
Ni: 0.500 0.000 0.500  -0.02
Nb: 0.000 0.685 0.185  -0.10
Nb: 0.000 0.315 0.815  -0.10
Nb: 0.000 0.185 0.315  -0.10
Nb: 0.000 0.815 0.685  -0.10

## Properties
DFT formation energy in eV/atom: -0.175
Total energy in eV/atom: -6.535
Space-group type: P4/mbm
Total magnetic moment in μB per formula unit: 0.4